Entry from Alexandria: crystalline Mn2MoO at its relaxed geometry (PBE+U).

E	-0.2465	hartree per atom
N(E_F)	0.3388	states/eV per atom

a b c (Å): 6.6728 6.6728 5.6871
angles (deg): 54.08 54.08 90.00
Fractional positions:
Mn (0.8750, 0.7707, 0.7500)
Mn (0.5207, 0.1250, 0.2500)
Mn (0.3750, 0.4793, 0.7500)
Mn (0.2293, 0.6250, 0.2500)
Mo (0.7500, 0.2500, 0.5000)
Mo (0.0000, 0.0000, 0.0000)
O (0.5000, 0.5000, 0.0000)
O (0.2500, 0.7500, 0.5000)